First-principles (PBEsol) data for Tm2Mn12InSn11 after structural relaxation, as listed in the Alexandria database.

## Properties
Raw total energy, eV per atom: -6.913
Energy of formation, eV/atom: -0.11

Unit cell a=5.3481 b=5.3481 c=17.6736 alpha=90.00 beta=90.00 gamma=120.00
Closest atoms and distances in Å follow each position.
Space group P-6m2 (No. 187)
Unique sites:
Tm 0.0000 0.0000 0.2497 [2 per cell]  8 Sn 2.93-3.09
Mn 0.0002 0.5001 0.1254 [6 per cell]  6 Sn 2.67-2.77, 4 Mn 2.67-2.68
Mn 0.5007 0.0013 0.3721 [6 per cell]  4 Mn 2.66-2.68, 5 Sn 2.67-2.78, 1 In 2.74
In 0.3333 0.6667 0.5000 [1 per cell]  6 Mn 2.74
Sn 0.0000 0.0000 0.0837 [2 per cell]  6 Mn 2.77, 1 Tm 2.93, 1 Sn 2.96
Sn 0.0000 0.0000 0.4159 [2 per cell]  6 Mn 2.78, 1 Tm 2.94, 1 Sn 2.97
Sn 0.3333 0.6667 0.0000 [1 per cell]  6 Mn 2.70
Sn 0.3333 0.6667 0.2490 [2 per cell]  6 Mn 2.67
Sn 0.6667 0.3333 0.0000 [1 per cell]  6 Mn 2.70
Sn 0.6667 0.3333 0.2486 [2 per cell]  6 Mn 2.67
Sn 0.6667 0.3333 0.5000 [1 per cell]  6 Mn 2.73

First-principles (PBEsol) data for Mo2IrOs after structural relaxation, as listed in the Alexandria database.

## Properties
Raw total energy, eV per atom: -11.527
Energy of formation, eV/atom: -0.13
Energy relative to the lowest polymorph listed for this composition, meV/atom: 9

Unit cell a=3.8740 b=3.8740 c=7.7553 alpha=90.00 beta=90.00 gamma=90.00
Closest atoms and distances in Å follow each position.
Space group I4/mmm (No. 139)
Unique sites:
Mo 0.0000 0.5000 0.2500 [4 per cell]  4 Mo 2.74, 4 Os 2.74, 4 Ir 2.74
Ir 0.0000 0.0000 0.0000 [2 per cell]  4 Os 2.74, 8 Mo 2.74
Os 0.0000 0.0000 0.5000 [2 per cell]  4 Ir 2.74, 8 Mo 2.74

First-principles (PBEsol) data for NiSb2TeSe after structural relaxation, as listed in the Alexandria database.

## Properties
Raw total energy, eV per atom: -4.226
Uncorrected formation energy, meV per atom: 304

Unit cell a=4.9273 b=4.9273 c=4.9101 alpha=90.00 beta=90.00 gamma=90.00
Closest atoms and distances in Å follow each position.
Space group P4/mmm (No. 123)
Unique sites:
Ni 0.0000 0.0000 0.0000 [1 per cell]  2 Te 2.46, 4 Sb 2.46
Sb 0.0000 0.5000 0.0000 [2 per cell]  2 Ni 2.46
Te 0.0000 0.0000 0.5000 [1 per cell]  2 Ni 2.46
Se 0.5000 0.5000 0.5000 [1 per cell]  8 Sb 3.48, 4 Te 3.48

First-principles (PBEsol) data for RbPtC3 after structural relaxation, as listed in the Alexandria database.

## Properties
Raw total energy, eV per atom: -5.044
Energy of formation, eV/atom: 2.34

Unit cell a=4.1744 b=4.1744 c=4.1744 alpha=90.00 beta=90.00 gamma=90.00
Closest atoms and distances in Å follow each position.
Space group Pm-3m (No. 221)
Unique sites:
Rb 0.0000 0.0000 0.0000 [1 per cell]  12 C 2.95
Pt 0.5000 0.5000 0.5000 [1 per cell]  6 C 2.09
C 0.0000 0.5000 0.5000 [3 per cell]  2 Pt 2.09

First-principles (PBEsol) data for NaHfP2O after structural relaxation, as listed in the Alexandria database.

## Properties
Raw total energy, eV per atom: -5.148
Uncorrected formation energy, meV per atom: 599

Unit cell a=4.6081 b=4.6081 c=3.8356 alpha=90.00 beta=90.00 gamma=90.00
Closest atoms and distances in Å follow each position.
Space group P4/mmm (No. 123)
Unique sites:
Na 0.0000 0.0000 0.0000 [1 per cell]  2 O 1.92
Hf 0.5000 0.5000 0.5000 [1 per cell]  8 P 3.00, 4 O 3.26
P 0.0000 0.5000 0.0000 [2 per cell]  2 Na 2.30
O 0.0000 0.0000 0.5000 [1 per cell]  2 Na 1.92

First-principles (PBEsol) data for Mg2InW after structural relaxation, as listed in the Alexandria database.

## Properties
Raw total energy, eV per atom: -4.610
Energy of formation, eV/atom: 0.45

Unit cell a=4.0357 b=4.0357 c=8.9383 alpha=90.00 beta=90.00 gamma=90.00
Closest atoms and distances in Å follow each position.
Space group I-4m2 (No. 119)
Unique sites:
Mg 0.0000 0.0000 0.0000 [2 per cell]  4 W 2.85, 4 In 3.01, 4 Mg 3.01
Mg 0.0000 0.5000 0.2500 [2 per cell]  4 In 2.85, 4 W 3.01, 4 Mg 3.01
In 0.0000 0.5000 0.7500 [2 per cell]  8 Mg 2.85-3.01, 4 W 3.01
W 0.0000 0.0000 0.5000 [2 per cell]  8 Mg 2.85-3.01, 4 In 3.01

First-principles (PBEsol) data for GaSi3Pt after structural relaxation, as listed in the Alexandria database.

## Properties
Raw total energy, eV per atom: -4.430
Uncorrected formation energy, meV per atom: 1079

Unit cell a=4.5381 b=4.5381 c=4.5381 alpha=90.00 beta=90.00 gamma=90.00
Closest atoms and distances in Å follow each position.
Space group Pm-3m (No. 221)
Unique sites:
Ga 0.0000 0.0000 0.0000 [1 per cell]  6 Si 2.27
Si 0.0000 0.0000 0.5000 [3 per cell]  2 Ga 2.27
Pt 0.5000 0.5000 0.5000 [1 per cell]  12 Si 3.21

First-principles (PBEsol) data for BeC2 after structural relaxation, as listed in the Alexandria database.

## Properties
Raw total energy, eV per atom: -7.160
Energy of formation, eV/atom: 0.60

Unit cell a=2.4637 b=2.4637 c=3.6634 alpha=90.00 beta=90.00 gamma=120.00
Closest atoms and distances in Å follow each position.
Space group P-3m1 (No. 164)
Unique sites:
Be 0.0000 0.0000 0.0000 [1 per cell]  6 C 2.11
C 0.3333 0.6667 0.4264 [2 per cell]  3 C 1.52

First-principles (PBEsol) data for TlWBr2 after structural relaxation, as listed in the Alexandria database.

## Properties
Raw total energy, eV per atom: -4.027
Energy relative to the lowest polymorph listed for this composition, meV/atom: 495
Uncorrected formation energy, meV per atom: 1018

Unit cell a=4.2322 b=4.2322 c=11.7519 alpha=90.00 beta=90.00 gamma=90.00
Closest atoms and distances in Å follow each position.
Space group I-4m2 (No. 119)
Unique sites:
Tl 0.0000 0.0000 0.0000 [2 per cell]  4 Br 2.99
W 0.0000 0.5000 0.2500 [2 per cell]  4 Br 2.99
Br 0.0000 0.0000 0.5000 [2 per cell]  4 Tl 2.99
Br 0.0000 0.5000 0.7500 [2 per cell]  4 W 2.99

First-principles (PBEsol) data for TeC7 after structural relaxation, as listed in the Alexandria database.

## Properties
Raw total energy, eV per atom: -4.726
Uncorrected formation energy, meV per atom: 4153

Unit cell a=6.6884 b=6.6884 c=6.6884 alpha=90.00 beta=90.00 gamma=90.00
Closest atoms and distances in Å follow each position.
Space group Fm-3m (No. 225)
Unique sites:
Te 0.0000 0.0000 0.0000 [4 per cell]  12 C 2.36
C 0.0000 0.0000 0.5000 [4 per cell]  12 C 2.36
C 0.0000 0.2500 0.2500 [24 per cell]  2 Te 2.36, 10 C 2.36

First-principles (PBEsol) data for ThTl3 after structural relaxation, as listed in the Alexandria database.

## Properties
Raw total energy, eV per atom: -4.230
Energy of formation, eV/atom: -0.23

Unit cell a=4.7350 b=4.7350 c=4.7350 alpha=90.00 beta=90.00 gamma=90.00
Closest atoms and distances in Å follow each position.
Space group Pm-3m (No. 221)
Unique sites:
Th 0.0000 0.0000 0.0000 [1 per cell]  12 Tl 3.35
Tl 0.0000 0.5000 0.5000 [3 per cell]  8 Tl 3.35, 4 Th 3.35

First-principles (PBEsol) data for Ti3AlO6 after structural relaxation, as listed in the Alexandria database.

## Properties
Raw total energy, eV per atom: -8.933
Uncorrected formation energy, meV per atom: -2878

Unit cell a=5.8615 b=5.8615 c=14.4234 alpha=90.00 beta=90.00 gamma=120.00
Closest atoms and distances in Å follow each position.
Space group P-3m1 (No. 164)
Unique sites:
Ti 0.0000 0.0000 0.0000 [1 per cell]  6 O 2.07
Ti 0.0000 0.5000 0.5000 [3 per cell]  6 O 1.95-2.08
Ti 0.1590 0.3179 0.1636 [6 per cell]  6 O 1.99-2.11
Ti 0.3333 0.6667 0.3203 [2 per cell]  3 O 1.90
Al 0.0000 0.0000 0.3756 [2 per cell]  4 O 1.76-1.80
Al 0.3333 0.6667 0.9607 [2 per cell]  4 O 1.76-1.77
O 0.0000 0.0000 0.2535 [2 per cell]  1 Al 1.76
O 0.0356 0.5178 0.2405 [6 per cell]  3 Ti 1.90-1.99
O 0.1676 0.3353 0.4161 [6 per cell]  1 Al 1.80
O 0.1695 0.3390 0.9203 [6 per cell]  1 Al 1.76
O 0.3333 0.6667 0.0836 [2 per cell]  1 Al 1.77
O 0.3333 0.6667 0.5667 [2 per cell]  3 Ti 1.95